Below is crystalline Na2B4O7 at its relaxed geometry, with properties calculated at the GGA-PBEsol level.

Results
ΔE_f (raw): -2392 meV/atom
theoretical density: 2.50 g/cm3
SG: No. 2
energy above the lowest structure with this stoichiometry: 0 meV/atom
total DFT energy (no corrections): -592.24 eV/cell

```
78
Lattice="6.747 0.000 0.000 -2.709 9.261 0.000 -0.434 -3.554 12.830" Properties=species:S:1:pos:R:3 pbc="T T T"
Na -0.807 1.902 4.965
Na -0.718 -0.089 11.231
Na -1.513 6.454 6.805
Na -1.069 8.295 0.308
Na 0.773 4.785 2.578
Na 0.943 3.137 8.991
Na 2.662 2.570 3.840
Na 2.832 0.922 10.252
Na 4.674 -2.588 12.522
Na 5.118 -0.747 6.026
Na 4.323 5.795 1.599
Na 4.411 3.805 7.866
B -1.535 4.562 4.253
B -1.528 2.864 10.609
B -1.239 7.233 3.873
B 0.611 2.050 1.006
B 1.009 0.119 2.806
B -1.050 5.502 10.262
B 0.761 0.481 7.660
B 1.203 -1.561 9.288
B 1.527 0.075 5.279
B 1.647 -1.745 11.751
B 0.503 4.708 5.845
B 0.660 2.766 11.860
B 2.944 2.941 0.970
B 3.102 0.998 6.986
B 1.957 7.451 1.080
B 2.078 5.632 7.551
B 2.401 7.267 3.543
B 2.844 5.225 5.170
B 4.655 0.204 2.569
B 2.595 5.588 10.025
B 2.994 3.657 11.825
B 4.844 -1.526 8.958
B 5.133 2.843 2.222
B 5.140 1.145 8.577
O -0.692 2.649 1.136
O -1.011 3.559 3.339
O -1.162 5.893 3.634
O 0.682 0.700 1.638
O -0.825 4.414 5.586
O -0.198 1.276 8.369
O -1.495 7.992 2.724
O 0.383 -1.679 12.410
O 0.484 0.410 6.223
O -0.997 4.168 10.004
O -1.467 6.301 9.185
O 0.836 -0.938 8.145
O -0.339 2.142 11.146
O -1.062 7.855 5.070
O 1.183 0.767 3.997
O 2.031 -3.159 11.433
O 1.523 -0.952 10.470
O 1.707 2.895 1.585
O 0.866 6.843 0.284
O 0.755 5.130 7.131
O 2.110 1.115 7.929
O 1.495 4.592 4.902
O 2.849 0.576 5.700
O 2.738 -1.137 12.546
O 1.897 2.812 11.245
O 2.081 6.659 2.361
O 1.573 8.865 1.397
O 2.421 4.939 8.833
O 4.666 -2.149 7.761
O 3.943 3.564 1.685
O 2.769 6.644 4.685
O 5.071 -0.594 3.645
O 4.601 1.539 2.826
O 3.120 5.297 6.607
O 3.222 7.386 0.421
O 5.099 -2.285 10.107
O 3.802 4.430 4.461
O 4.429 1.293 7.245
O 2.922 5.006 11.193
O 4.766 -0.187 9.197
O 4.615 2.148 9.492
O 4.297 3.058 11.694
```

Below is crystalline K2TlTc at its relaxed geometry, with properties calculated at the GGA-PBEsol level.

Results
formation enthalpy at 0 K: 1.281 eV per atom
theoretical density: 4.97 g/cm3
SG: No. 225
energy above the lowest structure with this stoichiometry: 265 meV/atom
total DFT energy (no corrections): -11.04 eV/cell

```
4
Lattice="0.000 3.992 3.992 3.992 0.000 3.992 3.992 3.992 0.000" Properties=species:S:1:pos:R:3 pbc="T T T"
K 1.996 1.996 1.996
K 5.988 5.988 5.988
Tl 0.000 0.000 0.000
Tc 3.992 3.992 3.992
```